Entry 1:
# LaAl2AgAu2 (PBE, relaxed)
data_LaAl2AgAu2
_space_group_name_H-M_alt 'P -3 m 1'
_space_group_IT_number 164
_space_group_name_Hall '-P 3 2"'
_cell_length_a 4.4763
_cell_length_b 4.4763
_cell_length_c 7.2013
_cell_angle_alpha 90.00
_cell_angle_beta 90.00
_cell_angle_gamma 120.00
loop_
_atom_site_label
_atom_site_fract_x
_atom_site_fract_y
_atom_site_fract_z
_atom_site_occupancy
La1 0.0000 0.0000 0.0000 1
Al1 0.3333 0.6667 0.6671 1
Ag1 0.0000 0.0000 0.5000 1
Au1 0.3333 0.6667 0.2775 1
# - E_form (eV per atom) = -0.577
# - crystal system = trigonal



Entry 2:
# LaAl3AgAu (PBE, relaxed)
data_LaAl3AgAu
_space_group_name_H-M_alt 'C m c m'
_space_group_IT_number 63
_space_group_name_Hall '-C 2c 2'
_cell_length_a 6.084
_cell_length_b 13.746
_cell_length_c 6.021
_cell_angle_alpha 90.00
_cell_angle_beta 90.00
_cell_angle_gamma 90.00
loop_
_atom_site_label
_atom_site_fract_x
_atom_site_fract_y
_atom_site_fract_z
_atom_site_occupancy
La1 0.000 0.196 0.250 1
Al1 0.000 0.374 0.750 1
Al2 0.212 0.000 0.000 1
Ag1 0.000 0.408 0.250 1
Au1 0.000 0.167 0.750 1
# - E_form (eV per atom) = -0.242
# - crystal system = orthorhombic



Entry 3:
# LaAl2AgAu (PBE, relaxed)
data_LaAl2AgAu
_space_group_name_H-M_alt 'P 4/m m m'
_space_group_IT_number 123
_space_group_name_Hall '-P 4 2'
_cell_length_a 4.848
_cell_length_b 4.848
_cell_length_c 5.179
_cell_angle_alpha 90.00
_cell_angle_beta 90.00
_cell_angle_gamma 90.00
loop_
_atom_site_label
_atom_site_fract_x
_atom_site_fract_y
_atom_site_fract_z
_atom_site_occupancy
La1 0.000 0.000 0.000 1
Al1 0.000 0.500 0.500 1
Ag1 0.500 0.500 0.500 1
Au1 0.500 0.500 0.000 1
# - E_form (eV per atom) = -0.005
# - crystal system = tetragonal



Question: E_form of number 2 (LaAl3AgAu)?
Answer: -0.242 eV per atom